i | {
  "formula": "SrAcTe2",
  "functional": "PBE",
  "state": "relaxed",
  "total_magnetization_mub_per_cell": 0.0,
  "mass_density_g_cm3": 7.0,
  "lattice_angstrom": [[0.0000, 4.0668, 4.0668], [4.0668, 0.0000, 4.0668], [4.0668, 4.0668, 0.0000]],
  "species": ["Sr", "Ac", "Te", "Te"],
  "frac_coords": [[0.0000, 0.0000, 0.0000], [0.5000, 0.5000, 0.5000], [0.2500, 0.2500, 0.2500], [0.7500, 0.7500, 0.7500]]
}



ii | {
  "formula": "SrAcTe2",
  "functional": "PBE",
  "state": "relaxed",
  "total_magnetization_mub_per_cell": 0.0,
  "mass_density_g_cm3": 6.3,
  "lattice_angstrom": [[2.3498, 1.3566, 7.8322], [-2.3498, 1.3566, 7.8322], [0.0000, -2.7133, 7.8322]],
  "species": ["Sr", "Ac", "Te", "Te"],
  "frac_coords": [[0.0000, 0.0000, 0.0000], [0.5000, 0.5000, 0.5000], [0.2514, 0.2514, 0.2514], [0.7486, 0.7486, 0.7486]]
}



iii | {
  "formula": "SrAcTe2",
  "functional": "PBE",
  "state": "relaxed",
  "total_magnetization_mub_per_cell": 0.0,
  "mass_density_g_cm3": 6.3,
  "lattice_angstrom": [[4.6485, 0.0000, 0.0000], [-2.3243, 4.0258, 0.0000], [0.0000, 0.0000, 16.1351]],
  "species": ["Sr", "Sr", "Ac", "Ac", "Te", "Te", "Te", "Te"],
  "frac_coords": [[0.3333, 0.6667, 0.2500], [0.6667, 0.3333, 0.7500], [0.0000, 0.0000, 0.0000], [0.0000, 0.0000, 0.5000], [0.3333, 0.6667, 0.6245], [0.3333, 0.6667, 0.8755], [0.6667, 0.3333, 0.1245], [0.6667, 0.3333, 0.3755]]
}



Most stable: ii (next structure +37 meV per atom)



i | {
  "formula": "SrAcTh",
  "functional": "PBE",
  "state": "relaxed",
  "total_magnetization_mub_per_cell": 0.0,
  "mass_density_g_cm3": 7.2,
  "lattice_angstrom": [[3.8454, 0.0000, 0.0000], [0.0000, 3.8454, 0.0000], [0.0000, 0.0000, 17.1385]],
  "species": ["Sr", "Sr", "Ac", "Ac", "Th", "Th"],
  "frac_coords": [[0.2500, 0.2500, 0.0968], [0.7500, 0.7500, 0.9032], [0.2500, 0.2500, 0.7164], [0.7500, 0.7500, 0.2836], [0.2500, 0.2500, 0.4339], [0.7500, 0.7500, 0.5661]]
}



ii | {
  "formula": "SrAcTh",
  "functional": "PBE",
  "state": "relaxed",
  "total_magnetization_mub_per_cell": 0.0,
  "mass_density_g_cm3": 7.2,
  "lattice_angstrom": [[-1.8996, 1.8996, 8.7793], [1.8996, -1.8996, 8.7793], [1.8996, 1.8996, -8.7793]],
  "species": ["Sr", "Ac", "Th"],
  "frac_coords": [[0.0000, 0.0000, 0.0000], [0.3094, 0.3094, 0.0000], [0.6679, 0.6679, 0.0000]]
}



Most stable: i (next structure +98 meV per atom)